[1]
The following is a DFT calculation (PBEsol) of crystalline TaMn3Cd at its relaxed geometry.

Values from the calculation:
- DFT total energy: -7.206 eV per atom
- Crystal system: cubic
- Density of states at the Fermi level: 1.009 states/eV/atom

Cell: 4.600 4.600 4.600 Å, 90.00 90.00 90.00°
Space group Pm-3m (No. 221)
One atom of each set of equivalent atoms:
Ta: 0.000 0.000 0.000
Mn: 0.000 0.000 0.500
Cd: 0.500 0.500 0.500

***

[2]
The following is a DFT calculation (PBEsol) of crystalline TaMnCd2 at its relaxed geometry.

Values from the calculation:
- Polymorph energy (0 for the lowest one): 1.42 eV per formula unit
- Crystal system: cubic
- Density of states at the Fermi level: 0.942 states/eV/atom

Cell: 6.526 6.526 6.526 Å, 90.00 90.00 90.00°
Space group Fm-3m (No. 225)
One atom of each set of equivalent atoms:
Ta: 0.000 0.000 0.000
Mn: 0.000 0.000 0.500
Cd: 0.250 0.250 0.250

***

[3]
The following is a DFT calculation (PBEsol) of crystalline TaMn2Cd at its relaxed geometry.

Values from the calculation:
- DFT total energy: -7.900 eV per atom
- Crystal system: trigonal
- Density of states at the Fermi level: 0.881 states/eV/atom

Cell: 2.8700 2.8700 26.8931 Å, 90.00 90.00 120.00°
Space group R-3m (No. 166, hexagonal axes)
One atom of each set of equivalent atoms:
Ta: 0.0000 0.0000 0.0000
Mn: 0.0000 0.0000 0.2536
Cd: 0.0000 0.0000 0.5000

***

[4]
The following is a DFT calculation (PBEsol) of crystalline Ta3MnCd at its relaxed geometry.

Values from the calculation:
- DFT total energy: -8.943 eV per atom
- Crystal system: cubic
- Density of states at the Fermi level: 0.767 states/eV/atom

Cell: 4.559 4.559 4.559 Å, 90.00 90.00 90.00°
Space group Pm-3m (No. 221)
One atom of each set of equivalent atoms:
Ta: 0.000 0.000 0.500
Mn: 0.000 0.000 0.000
Cd: 0.500 0.500 0.500

***

[5]
The following is a DFT calculation (PBEsol) of crystalline Ta2MnCd at its relaxed geometry.

Values from the calculation:
- DFT total energy: -8.716 eV per atom
- Crystal system: trigonal
- Density of states at the Fermi level: 0.796 states/eV/atom

Cell: 2.9847 2.9847 26.0316 Å, 90.00 90.00 120.00°
Space group R-3m (No. 166, hexagonal axes)
One atom of each set of equivalent atoms:
Ta: 0.0000 0.0000 0.2369
Mn: 0.0000 0.0000 0.5000
Cd: 0.0000 0.0000 0.0000

***

[6]
The following is a DFT calculation (PBEsol) of crystalline TaMnCd2 at its relaxed geometry.

Values from the calculation:
- Polymorph energy (0 for the lowest one): 0.00 eV per formula unit
- Crystal system: orthorhombic
- Density of states at the Fermi level: 0.696 states/eV/atom

Cell: 3.713 4.285 8.736 Å, 90.00 90.00 90.00°
Space group Cmm2 (No. 35)
One atom of each set of equivalent atoms:
Ta: 0.000 0.000 0.000
Mn: 0.000 0.500 0.784
Cd: 0.000 0.000 0.546
Cd: 0.000 0.500 0.267

***

[7]
The following is a DFT calculation (PBEsol) of crystalline Mn2CdTc at its relaxed geometry.

Values from the calculation:
- DFT total energy: -7.707 eV per atom
- Crystal system: tetragonal
- Density of states at the Fermi level: 1.107 states/eV/atom

Cell: 2.781 2.781 7.315 Å, 90.00 90.00 90.00°
Space group P4mm (No. 99)
One atom of each set of equivalent atoms:
Mn: 0.000 0.000 0.000
Mn: 0.500 0.500 0.217
Cd: 0.500 0.500 0.713
Tc: 0.000 0.000 0.410

***

[8]
The following is a DFT calculation (PBEsol) of crystalline Mn2CdTc at its relaxed geometry.

Values from the calculation:
- DFT total energy: -7.591 eV per atom
- Crystal system: trigonal
- Density of states at the Fermi level: 1.237 states/eV/atom

Cell: 2.7154 2.7154 26.1383 Å, 90.00 90.00 120.00°
Space group R-3m (No. 166, hexagonal axes)
One atom of each set of equivalent atoms:
Mn: 0.0000 0.0000 0.2429
Cd: 0.0000 0.0000 0.0000
Tc: 0.0000 0.0000 0.5000

***

[9]
The following is a DFT calculation (PBEsol) of crystalline MnCd3Tc at its relaxed geometry.

Values from the calculation:
- DFT total energy: -3.444 eV per atom
- Crystal system: cubic
- Density of states at the Fermi level: 1.106 states/eV/atom

Cell: 4.840 4.840 4.840 Å, 90.00 90.00 90.00°
Space group Pm-3m (No. 221)
One atom of each set of equivalent atoms:
Mn: 0.000 0.000 0.000
Cd: 0.000 0.000 0.500
Tc: 0.500 0.500 0.500

***

[10]
The following is a DFT calculation (PBEsol) of crystalline Mn2CdTc at its relaxed geometry.

Values from the calculation:
- DFT total energy: -7.709 eV per atom
- Crystal system: tetragonal
- Density of states at the Fermi level: 1.011 states/eV/atom

Cell: 2.880 2.880 6.907 Å, 90.00 90.00 90.00°
Space group P4/mmm (No. 123)
One atom of each set of equivalent atoms:
Mn: 0.000 0.000 0.219
Cd: 0.500 0.500 0.500
Tc: 0.500 0.500 0.000

***

[11]
The following is a DFT calculation (PBEsol) of crystalline Mn2CdTc at its relaxed geometry.

Values from the calculation:
- DFT total energy: -7.568 eV per atom
- Crystal system: monoclinic
- Density of states at the Fermi level: 0.841 states/eV/atom

Cell: 9.255 2.778 4.498 Å, 90.00 108.93 90.00°
Space group Cm (No. 8)
One atom of each set of equivalent atoms:
Mn: 0.000 0.000 0.000
Mn: 0.222 0.500 0.248
Cd: 0.488 0.000 0.492
Tc: 0.267 0.000 0.806

***

[12]
The following is a DFT calculation (PBEsol) of crystalline MnCd2Te3 at its relaxed geometry.

Values from the calculation:
- Crystal system: trigonal
- Raw formation energy: -0.20 eV/atom

Cell: 4.5398 4.5398 11.0035 Å, 90.00 90.00 120.00°
Space group P3m1 (No. 156)
One atom of each set of equivalent atoms:
Mn: 0.0000 0.0000 0.0000
Cd: 0.3333 0.6667 0.6658
Cd: 0.6667 0.3333 0.3224
Te: 0.0000 0.0000 0.7564
Te: 0.3333 0.6667 0.4114
Te: 0.6667 0.3333 0.0669

***

[13]
The following is a DFT calculation (PBEsol) of crystalline MnCd3Te4 at its relaxed geometry.

Values from the calculation:
- Crystal system: orthorhombic
- Raw formation energy: -0.26 eV/atom

Cell: 4.551 9.059 6.394 Å, 90.00 90.00 90.00°
Space group Pmm2 (No. 25)
One atom of each set of equivalent atoms:
Mn: 0.000 0.000 0.000
Cd: 0.000 0.500 0.005
Cd: 0.500 0.244 0.503
Te: 0.000 0.240 0.245
Te: 0.500 0.000 0.774
Te: 0.500 0.500 0.749

***

[14]
The following is a DFT calculation (PBEsol) of crystalline Mn3CdTe4 at its relaxed geometry.

Values from the calculation:
- Crystal system: trigonal
- Density of states at the Fermi level: 0.228 states/eV/atom
- Raw formation energy: 0.04 eV/atom

Cell: 4.4687 4.4687 43.4435 Å, 90.00 90.00 120.00°
Space group R3m (No. 160, hexagonal axes)
One atom of each set of equivalent atoms:
Mn: 0.0000 0.0000 0.0000
Mn: 0.0000 0.0000 0.2514
Mn: 0.0000 0.0000 0.5029
Cd: 0.0000 0.0000 0.7527
Te: 0.0000 0.0000 0.0617
Te: 0.0000 0.0000 0.3139
Te: 0.0000 0.0000 0.5652
Te: 0.0000 0.0000 0.8172

***

[15]
The following is a DFT calculation (PBEsol) of crystalline Mn2CdTe at its relaxed geometry.

Values from the calculation:
- Polymorph energy (0 for the lowest one): 1.25 eV per formula unit
- Crystal system: cubic
- Density of states at the Fermi level: 1.389 states/eV/atom
- Raw formation energy: 0.72 eV/atom

Cell: 6.755 6.755 6.755 Å, 90.00 90.00 90.00°
Space group F-43m (No. 216)
One atom of each set of equivalent atoms:
Mn: 0.000 0.000 0.000
Mn: 0.250 0.250 0.250
Cd: 0.000 0.000 0.500
Te: 0.250 0.250 0.750